The following is a PBE calculation of CsRbGa2As2 after structural relaxation, from Alexandria via LeMat-Bulk.

The structure in extended XYZ format:
```
6
Lattice="4.218 0.000 0.000 -2.109 3.653 0.000 0.000 0.000 12.263" Properties=species:S:1:pos:R:3 pbc="T T T"
Cs 0.000 0.000 0.000
Rb 0.000 0.000 6.131
Ga 0.000 2.435 9.521
Ga 2.109 1.218 2.741
As 0.000 2.435 3.526
As 2.109 1.218 8.737
```

Summary:
Total magnetization ... 0.0 μB per formula unit
Formation enthalpy at 0 K ... -0.289 eV per atom
Mass density ... 4462 kg/m³